(w)
Here is a relaxed structure of CsGe3Pt from Alexandria. Energies are from PBE.

Structure (POSCAR):
```
CsGe3Pt
1.0
6.3564 0.0000 0.0000
0.0000 9.8796 0.7176
0.0000 -2.6129 8.3401
Pt Ge Cs
4 12 4
Cartesian
4.7283 -0.1695 3.7026
1.6281 7.4362 5.3551
4.8063 -1.4760 7.8727
1.5501 8.7426 1.1850
2.6368 7.3464 7.6137
3.6797 7.2844 1.5083
3.7196 -0.0797 1.4440
5.8550 5.9780 5.6783
2.6768 -0.0178 7.5494
3.9027 7.1822 4.3399
5.8150 -1.3862 5.6141
5.6320 5.8757 8.5100
0.7245 1.3909 0.5477
2.4537 0.0845 4.7178
0.5414 8.6528 3.4436
0.5014 1.2887 3.3794
0.6183 5.3481 2.2396
3.7965 3.2251 2.6480
5.7381 1.9186 6.8181
2.5599 4.0416 6.4097
```



(x)
Here is a relaxed structure of CsGe3Pt from Alexandria. Energies are from PBE.

Structure (POSCAR):
```
CsGe3Pt
1.0
-3.5539 3.2316 -1.8490
-3.6349 -3.5651 0.7555
-0.8063 1.8274 4.7438
Cs Ge Pt
1 3 1
Cartesian
-3.9976 0.7470 1.8251
-1.7770 1.6158 -0.9245
-0.4032 0.9137 2.3719
-1.8174 -1.7825 0.3778
0.0000 0.0000 0.0000
```



The data favor (w); the next most stable structure lies 0.580 eV/atom above it.



(w)
Here is a relaxed structure of Cs2RbGePt from Alexandria. Energies are from PBE.

Structure (POSCAR):
```
Cs2RbGePt
1.0
7.2403 0.0000 0.0000
0.0000 5.7502 0.0000
0.0000 0.0000 7.2403
Cs Ge Rb Pt
2 1 1 1
Cartesian
3.6202 0.0000 0.0000
0.0000 0.0000 3.6202
0.0000 2.8751 0.0000
0.0000 0.0000 0.0000
3.6202 2.8751 3.6202
```



(x)
Here is a relaxed structure of Cs2RbGePt from Alexandria. Energies are from PBE.

Structure (POSCAR):
```
Cs2RbGePt
1.0
-1.5550 -5.3045 -4.4598
4.6931 2.5571 -4.6777
3.4450 -2.6828 1.9898
Pt Cs Ge Rb
1 2 1 1
Cartesian
0.0000 0.0000 0.0000
-0.7775 -2.6522 -2.2299
2.3466 1.2786 -2.3388
1.7225 -1.3414 0.9949
3.2916 -2.7151 -3.5739
```



The data favor (x); the next most stable structure lies 1.064 eV/atom above it.



(w)
Here is a relaxed structure of CsRbGe2 from Alexandria. Energies are from PBE.

Structure (POSCAR):
```
CsRbGe2
1.0
-2.0244 -5.0565 -2.4779
-5.1457 -2.4038 1.8841
-4.8295 0.1231 -3.5308
Rb Ge Cs
1 2 1
Cartesian
0.0000 0.0000 0.0000
-8.9997 -5.5028 -3.0935
-2.9999 -1.8343 -1.0312
-5.9998 -3.6686 -2.0623
```



(x)
Here is a relaxed structure of CsRbGe2 from Alexandria. Energies are from PBE.

Structure (POSCAR):
```
CsRbGe2
1.0
7.6324 0.0000 0.0000
0.0000 7.3434 0.0000
0.0000 0.0000 10.9750
Ge Cs Rb
8 4 4
Cartesian
6.9491 0.9535 10.4906
4.4995 0.9535 10.4906
4.4995 4.6253 5.9718
0.6833 2.7182 5.0031
0.6833 6.3899 0.4844
3.1329 6.3899 0.4844
3.1329 2.7182 5.0031
6.9491 4.6253 5.9718
5.7243 0.0042 3.2293
1.9081 3.6675 8.7167
5.7243 3.6759 2.2582
1.9081 7.3393 7.7457
1.9081 2.5537 1.5050
5.7243 1.1180 6.9925
1.9081 6.2255 3.9825
5.7243 4.7897 9.4700
```



(y)
Here is a relaxed structure of CsRbGe2 from Alexandria. Energies are from PBE.

Structure (POSCAR):
```
CsRbGe2
1.0
10.2405 0.0000 0.0000
0.0000 10.2405 0.0000
5.1202 5.1202 3.0885
Cs Rb Ge
2 2 4
Cartesian
0.0000 0.0000 0.0000
10.2405 5.1202 1.5443
5.1202 5.1202 0.0000
5.1202 10.2405 1.5443
7.6804 7.7179 2.3164
2.5976 7.6804 0.7721
12.8006 12.7631 2.3164
7.6428 2.5601 0.7721
```



The data favor (x); the next most stable structure lies 0.617 eV/atom above it.



(w)
Here is a relaxed structure of CsRbGe3 from Alexandria. Energies are from PBE.

Structure (POSCAR):
```
CsRbGe3
1.0
-2.7520 -3.1176 4.3113
-2.0605 -3.8506 -4.0997
4.9052 -3.3666 0.6967
Ge Rb Cs
3 1 1
Cartesian
2.4526 -1.6833 0.3483
-1.0303 -1.9253 -2.0499
-1.3760 -1.5588 2.1556
0.0463 -5.1674 0.4541
0.0000 0.0000 0.0000
```



(x)
Here is a relaxed structure of CsRbGe3 from Alexandria. Energies are from PBE.

Structure (POSCAR):
```
CsRbGe3
1.0
6.0923 0.0000 0.0000
0.0000 6.0923 0.0000
0.0000 0.0000 6.0923
Ge Cs Rb
3 1 1
Cartesian
0.0000 3.0462 0.0000
3.0462 0.0000 0.0000
0.0000 0.0000 3.0462
3.0462 3.0462 3.0462
0.0000 0.0000 0.0000
```



The data favor (x); the next most stable structure lies 0.138 eV/atom above it.



(w)
Here is a relaxed structure of CsGe2Rh2 from Alexandria. Energies are from PBE.

Structure (POSCAR):
```
CsGe2Rh2
1.0
4.1254 0.0000 0.0000
0.0000 4.1254 0.0000
0.0000 0.0000 7.2783
Rh Cs Ge
2 1 2
Cartesian
2.0627 0.0000 3.6392
0.0000 2.0627 3.6392
0.0000 0.0000 0.0000
2.0627 2.0627 2.2468
2.0627 2.0627 5.0315
```



(x)
Here is a relaxed structure of CsGe2Rh2 from Alexandria. Energies are from PBE.

Structure (POSCAR):
```
CsGe2Rh2
1.0
4.1850 0.0000 0.0000
0.0000 4.1850 0.0000
2.0925 2.0925 7.2650
Cs Ge Rh
1 2 2
Cartesian
0.0000 0.0000 0.0000
2.0925 2.0925 2.3787
4.1850 4.1850 4.8863
2.0925 4.1850 3.6325
4.1850 2.0925 3.6325
```



(y)
Here is a relaxed structure of CsGe2Rh2 from Alexandria. Energies are from PBE.

Structure (POSCAR):
```
CsGe2Rh2
1.0
-0.9626 -0.1917 -4.0930
0.8951 -4.1127 -0.0178
-6.8130 -3.6348 -0.3915
Rh Cs Ge
2 1 2
Cartesian
-2.2122 -2.6286 -1.5208
-4.6684 -5.3107 -2.9816
0.0000 0.0000 0.0000
-2.9759 -4.9499 -1.2324
-3.9047 -2.9894 -3.2700
```



The data favor (x); the next most stable structure lies 0.272 eV/atom above it.



(w)
Here is a relaxed structure of Cs2GeRh from Alexandria. Energies are from PBE.

Structure (POSCAR):
```
Cs2GeRh
1.0
0.0000 4.0981 4.0981
4.0981 0.0000 4.0981
4.0981 4.0981 0.0000
Rh Cs Ge
1 2 1
Cartesian
4.0981 4.0981 4.0981
6.1472 6.1472 6.1472
2.0491 2.0491 2.0491
0.0000 0.0000 0.0000
```



(x)
Here is a relaxed structure of Cs2GeRh from Alexandria. Energies are from PBE.

Structure (POSCAR):
```
Cs2GeRh
1.0
-0.4484 -7.1090 -6.2868
-2.9842 4.3486 7.9023
-4.4304 6.1342 -5.7451
Ge Cs Rh
2 4 2
Cartesian
-1.7163 -1.3802 0.8078
-3.2976 -1.1775 -5.6121
-5.6702 3.1933 -1.4818
-1.9247 2.3472 1.6242
-4.3189 5.2192 4.8507
-6.3481 7.4455 0.9370
0.0000 0.0000 0.0000
-4.5655 4.5513 1.4825
```



The data favor (x); the next most stable structure lies 0.887 eV/atom above it.



(w)
Here is a relaxed structure of CsGe3Rh from Alexandria. Energies are from PBE.

Structure (POSCAR):
```
CsGe3Rh
1.0
5.0197 0.0000 0.0000
0.0000 5.0197 0.0000
0.0000 0.0000 5.0197
Ge Cs Rh
3 1 1
Cartesian
0.0000 0.0000 2.5098
0.0000 2.5098 0.0000
2.5098 0.0000 0.0000
2.5098 2.5098 2.5098
0.0000 0.0000 0.0000
```



(x)
Here is a relaxed structure of CsGe3Rh from Alexandria. Energies are from PBE.

Structure (POSCAR):
```
CsGe3Rh
1.0
5.4961 0.0000 0.0000
0.0000 5.4961 0.0000
0.0000 0.0000 5.4961
Ge Cs Rh
3 1 1
Cartesian
0.0000 2.7480 0.0000
2.7480 0.0000 0.0000
0.0000 0.0000 2.7480
0.0000 0.0000 0.0000
2.7480 2.7480 2.7480
```



The data favor (w); the next most stable structure lies 2.073 eV/atom above it.



(w)
Here is a relaxed structure of CsGeRh3 from Alexandria. Energies are from PBE.

Structure (POSCAR):
```
CsGeRh3
1.0
4.7773 0.0000 0.0000
0.0000 4.7773 0.0000
0.0000 0.0000 4.7773
Rh Cs Ge
3 1 1
Cartesian
0.0000 2.3886 0.0000
0.0000 0.0000 2.3886
2.3886 0.0000 0.0000
2.3886 2.3886 2.3886
0.0000 0.0000 0.0000
```



(x)
Here is a relaxed structure of CsGeRh3 from Alexandria. Energies are from PBE.

Structure (POSCAR):
```
CsGeRh3
1.0
-2.8925 2.3172 -3.2916
1.5833 -3.0716 -3.5537
-3.7010 -3.1251 1.0522
Rh Cs Ge
3 1 1
Cartesian
0.7917 -1.5358 -1.7768
-1.8505 -1.5626 0.5261
-1.4462 1.1586 -1.6458
0.0000 0.0000 0.0000
-2.5051 -1.9398 -2.8965
```



The data favor (w); the next most stable structure lies 1.481 eV/atom above it.